{
  "formula": "FeCoAg3",
  "functional": "GGA-PBE",
  "state": "optimized geometry",
  "lattice": [[4.736, 0.000, 0.000], [0.000, 4.736, 0.000], [0.000, 0.000, 4.736]],
  "species": ["Co", "Fe", "Ag", "Ag", "Ag"],
  "fractional_positions": [[0.000, 0.000, 0.000], [0.500, 0.500, 0.500], [0.000, 0.500, 0.000], [0.000, 0.000, 0.500], [0.500, 0.000, 0.000]],
  "total_energy_ev_per_atom": -3.53
}


{
  "formula": "Fe2Co2Ag",
  "functional": "GGA-PBE",
  "state": "optimized geometry",
  "lattice": [[6.882, 0.000, 0.000], [0.000, 6.882, 0.000], [0.000, 0.000, 2.530]],
  "species": ["Co", "Co", "Co", "Co", "Fe", "Fe", "Fe", "Fe", "Ag", "Ag"],
  "fractional_positions": [[0.379, 0.879, 0.000], [0.879, 0.621, 0.000], [0.621, 0.121, 0.000], [0.121, 0.379, 0.000], [0.170, 0.670, 0.500], [0.670, 0.830, 0.500], [0.830, 0.330, 0.500], [0.330, 0.170, 0.500], [0.000, 0.000, 0.000], [0.500, 0.500, 0.000]],
  "total_energy_ev_per_atom": -6.32
}


no.,distance to the lowest polymorph of the same formula (meV per atom),calculated formation energy (eV per atom)
1,0,1.293
2,13,0.476